(1)
First-principles (PBE-GGA) data for a relaxed structure of CsK2TlRh, as listed in Alexandria.

Cell lengths 6.2753, 6.2753, 5.4067 Å; angles 90.00, 90.00, 90.00 degrees
Element x y z (fractional)
Cs1 0.0000 0.0000 0.0000
K1 0.0000 0.5000 0.5000
K2 0.5000 0.0000 0.5000
Tl1 0.5000 0.5000 0.0000
Rh1 0.5000 0.5000 0.5000

Output
- space-group type = P4/mmm, No. 123

=====

(2)
First-principles (PBE-GGA) data for a relaxed structure of CsKZn2Rh, as listed in Alexandria.

Cell lengths 5.0699, 5.0699, 5.9742 Å; angles 90.00, 90.00, 90.00 degrees
Element x y z (fractional)
Cs1 0.0000 0.0000 0.0000
K1 0.5000 0.5000 0.0000
Zn1 0.0000 0.5000 0.5000
Zn2 0.5000 0.0000 0.5000
Rh1 0.0000 0.0000 0.5000

Output
- space-group type = P4/mmm, No. 123

=====

(3)
First-principles (PBE-GGA) data for a relaxed structure of CsKZrRh2, as listed in Alexandria.

Cell lengths 5.0682, 5.0682, 5.4170 Å; angles 90.00, 90.00, 90.00 degrees
Element x y z (fractional)
Cs1 0.0000 0.0000 0.0000
K1 0.0000 0.0000 0.5000
Zr1 0.5000 0.5000 0.0000
Rh1 0.0000 0.5000 0.5000
Rh2 0.5000 0.0000 0.5000

Output
- space-group type = P4/mmm, No. 123

=====

(4)
First-principles (PBE-GGA) data for a relaxed structure of CsKRu2, as listed in Alexandria.

Cell lengths 5.2485, 5.2485, 5.2485 Å; angles 60.00, 60.00, 60.00 degrees
Element x y z (fractional)
Cs1 0.0000 0.0000 0.0000
K1 0.5000 0.5000 0.5000
Ru1 0.2500 0.2500 0.2500
Ru2 0.7500 0.7500 0.7500

Output
- space-group type = Fm-3m, No. 225

=====

Number 1: N(E_F) 2.97 states/eV/f.u., ΔH_f (0 K) 0.179 eV/atom. Number 2: N(E_F) 2.49 states/eV/f.u., ΔH_f (0 K) 0.168 eV/atom. Number 3: N(E_F) 10.58 states/eV/f.u., ΔH_f (0 K) 1.922 eV/atom. Number 4: N(E_F) 5.45 states/eV/f.u., ΔH_f (0 K) 2.049 eV/atom.